#a
Compound: TcNi3Ir
Source: Alexandria
Functional: PBE
Structure: relaxed

a b c (Å): 4.495 4.495 4.495
angles (deg): 90.00 90.00 90.00
Last column: magnetic moment on the atom in μB.
Atoms (fractional coordinates):
Ni 0.000 0.500 0.000  0.69
Ni 0.000 0.000 0.500  0.95
Ni 0.500 0.000 0.000  0.57
Ir 0.000 0.000 0.000  0.78
Tc 0.500 0.500 0.500  3.26

Summary:
DOS(E_F) (states/eV per cell): 7.74
Total magnetization (μB/f.u.): 6.578
Mass density (g cm⁻³): 8.527
SG: Pm-3m, No. 221
Volume (Å³ per cell): 90.8

***

#b
Compound: TcNi3Ir
Source: Alexandria
Functional: PBE
Structure: relaxed

a b c (Å): 4.460 5.294 5.774
angles (deg): 103.52 75.39 106.87
Atoms (fractional coordinates):
Tc 0.401 0.650 0.697
Tc 0.599 0.350 0.303
Ni 0.197 0.951 0.102
Ni 0.803 0.049 0.898
Ni 0.198 0.450 0.103
Ni 0.802 0.550 0.897
Ni 0.001 0.744 0.501
Ni 0.999 0.256 0.499
Ir 0.603 0.850 0.295
Ir 0.397 0.150 0.705

Summary:
DOS(E_F) (states/eV per cell): 13.03
Total magnetization (μB/f.u.): 0.000
Mass density (g cm⁻³): 12.455
SG: P-1, No. 2
Volume (Å³ per cell): 124.3

***

Which of them is most stable? Easy: #b.

***

#a
Compound: Tc3NiIr
Source: Alexandria
Functional: PBE
Structure: relaxed

a b c (Å): 4.652 4.652 4.652
angles (deg): 90.00 90.00 90.00
Last column: magnetic moment on the atom in μB.
Atoms (fractional coordinates):
Ni 0.500 0.500 0.500  0.82
Ir 0.000 0.000 0.000  -0.03
Tc 0.000 0.500 0.000  0.67
Tc 0.000 0.000 0.500  0.52
Tc 0.500 0.000 0.000  0.66

Summary:
DOS(E_F) (states/eV per cell): 8.71
Total magnetization (μB/f.u.): 2.710
Mass density (g cm⁻³): 8.989
SG: Pm-3m, No. 221
Volume (Å³ per cell): 100.7

***

#b
Compound: Tc3NiIr
Source: Alexandria
Functional: PBE
Structure: relaxed

a b c (Å): 4.338 4.338 4.338
angles (deg): 90.00 90.00 90.00
Atoms (fractional coordinates):
Ni 0.000 0.000 0.000
Ir 0.500 0.500 0.500
Tc 0.000 0.500 0.000
Tc 0.000 0.000 0.500
Tc 0.500 0.000 0.000

Summary:
DOS(E_F) (states/eV per cell): 7.66
Total magnetization (μB/f.u.): 0.000
Mass density (g cm⁻³): 11.087
SG: Pm-3m, No. 221
Volume (Å³ per cell): 81.6

***

Which of them is most stable? Easy: #b.

***

#a
Compound: TiTcNi2Ir
Source: Alexandria
Functional: PBE
Structure: relaxed

a b c (Å): 4.236 4.382 4.236
angles (deg): 90.00 90.00 90.00
Atoms (fractional coordinates):
Ni 0.000 0.000 0.500
Ni 0.500 0.000 0.000
Ir 0.500 0.500 0.500
Tc 0.000 0.500 0.000
Ti 0.000 0.000 0.000

Summary:
DOS(E_F) (states/eV per cell): 6.88
Total magnetization (μB/f.u.): 0.001
Mass density (g cm⁻³): 9.618
SG: P4/mmm, No. 123
Volume (Å³ per cell): 78.6

***

#b
Compound: TiTcNi2Ir
Source: Alexandria
Functional: PBE
Structure: relaxed

a b c (Å): 4.262 4.557 4.262
angles (deg): 90.00 90.00 90.00
Last column: magnetic moment on the atom in μB.
Atoms (fractional coordinates):
Ni 0.000 0.000 0.500  0.05
Ni 0.500 0.000 0.000  0.16
Ir 0.000 0.500 0.000  0.23
Tc 0.500 0.500 0.500  2.58
Ti 0.000 0.000 0.000  -0.13

Summary:
DOS(E_F) (states/eV per cell): 4.86
Total magnetization (μB/f.u.): 3.124
Mass density (g cm⁻³): 9.139
SG: P4/mmm, No. 123
Volume (Å³ per cell): 82.8

***

Which of them is most stable? Easy: #b.

***

#a
Compound: NiTeIr2
Source: Alexandria
Functional: PBE
Structure: relaxed

a b c (Å): 4.567 4.567 4.918
angles (deg): 79.07 79.07 39.43
Atoms (fractional coordinates):
Ir 0.002 0.002 0.974
Ir 0.752 0.752 0.729
Ni 0.496 0.496 0.523
Te 0.250 0.250 0.275

Summary:
DOS(E_F) (states/eV per cell): 4.29
Total magnetization (μB/f.u.): 0.000
Mass density (g cm⁻³): 14.849
SG: Cm, No. 8
Volume (Å³ per cell): 63.8

***

#b
Compound: NiTeIr2
Source: Alexandria
Functional: PBE
Structure: relaxed

a b c (Å): 4.438 4.438 4.438
angles (deg): 60.00 60.00 60.00
Atoms (fractional coordinates):
Ni 0.000 0.000 0.000
Ir 0.250 0.250 0.250
Ir 0.750 0.750 0.750
Te 0.500 0.500 0.500

Summary:
DOS(E_F) (states/eV per cell): 4.71
Total magnetization (μB/f.u.): 0.000
Mass density (g cm⁻³): 15.329
SG: Fm-3m, No. 225
Volume (Å³ per cell): 61.8

***

#c
Compound: NiTeIr2
Source: Alexandria
Functional: PBE
Structure: relaxed

a b c (Å): 3.390 3.390 5.535
angles (deg): 90.00 90.00 90.00
Atoms (fractional coordinates):
Ir 0.000 0.000 0.016
Ir 0.500 0.500 0.267
Ni 0.000 0.000 0.473
Te 0.500 0.500 0.744

Summary:
DOS(E_F) (states/eV per cell): 5.74
Total magnetization (μB/f.u.): 0.001
Mass density (g cm⁻³): 14.895
SG: P4mm, No. 99
Volume (Å³ per cell): 63.6

***

#d
Compound: NiTeIr2
Source: Alexandria
Functional: PBE
Structure: relaxed

a b c (Å): 4.835 4.835 4.835
angles (deg): 131.40 131.40 71.17
Last column: magnetic moment on the atom in μB.
Atoms (fractional coordinates):
Ir 0.000 0.000 0.000  0.27
Ir 0.250 0.750 0.500  0.25
Ni 0.500 0.500 0.000  0.41
Te 0.750 0.250 0.500  0.01

Summary:
DOS(E_F) (states/eV per cell): 5.47
Total magnetization (μB/f.u.): 0.921
Mass density (g cm⁻³): 15.220
SG: I-4m2, No. 119
Volume (Å³ per cell): 62.3

***

Which of them is most stable? Easy: #a.

***

#a
Compound: NiTeIr2
Source: Alexandria
Functional: PBE
Structure: relaxed

a b c (Å): 5.443 5.443 2.937
angles (deg): 74.12 74.12 119.45
Atoms (fractional coordinates):
Ir 0.000 0.000 0.000
Ir 0.500 0.500 0.000
Ni 0.500 0.000 0.500
Te 0.000 0.500 0.500

Summary:
DOS(E_F) (states/eV per cell): 2.74
Total magnetization (μB/f.u.): 0.000
Mass density (g cm⁻³): 14.890
SG: C2/m, No. 12
Volume (Å³ per cell): 63.6

***

#b
Compound: NiTeIr2
Source: Alexandria
Functional: PBE
Structure: relaxed

a b c (Å): 2.881 2.881 9.214
angles (deg): 90.00 90.00 120.86
Atoms (fractional coordinates):
Ir 0.000 0.000 0.016
Ir 0.500 0.500 0.260
Ni 0.000 0.000 0.487
Te 0.500 0.500 0.736

Summary:
DOS(E_F) (states/eV per cell): 5.98
Total magnetization (μB/f.u.): 0.036
Mass density (g cm⁻³): 14.440
SG: Cmm2, No. 35
Volume (Å³ per cell): 65.6

***

#c
Compound: NiTeIr2
Source: Alexandria
Functional: PBE
Structure: relaxed

a b c (Å): 3.857 3.857 9.412
angles (deg): 78.18 78.18 90.00
Atoms (fractional coordinates):
Ni 0.500 0.500 0.000
Ni 0.250 0.750 0.500
Ir 0.598 0.125 0.250
Ir 0.152 0.625 0.250
Ir 0.375 0.402 0.750
Ir 0.875 0.848 0.750
Te 0.000 0.000 0.000
Te 0.750 0.250 0.500

Summary:
DOS(E_F) (states/eV per cell): 11.35
Total magnetization (μB/f.u.): 0.000
Mass density (g cm⁻³): 14.143
SG: I-42d, No. 122
Volume (Å³ per cell): 134.0

***

Which of them is most stable? Easy: #c.

***

#a
Compound: NiTeIr2
Source: Alexandria
Functional: PBE
Structure: relaxed

a b c (Å): 4.467 4.467 4.467
angles (deg): 60.00 60.00 60.00
Atoms (fractional coordinates):
Ir 0.000 0.000 0.000
Ir 0.750 0.750 0.750
Ni 0.500 0.500 0.500
Te 0.250 0.250 0.250

Summary:
DOS(E_F) (states/eV per cell): 6.24
Total magnetization (μB/f.u.): 0.000
Mass density (g cm⁻³): 15.034
SG: F-43m, No. 216
Volume (Å³ per cell): 63.0

***

#b
Compound: NiTeIr2
Source: Alexandria
Functional: PBE
Structure: relaxed

a b c (Å): 2.894 4.696 4.670
angles (deg): 90.00 90.00 90.00
Atoms (fractional coordinates):
Ir 0.000 0.000 0.000
Ir 0.500 0.500 0.000
Ni 0.500 0.000 0.500
Te 0.000 0.500 0.500

Summary:
DOS(E_F) (states/eV per cell): 5.01
Total magnetization (μB/f.u.): 0.000
Mass density (g cm⁻³): 14.931
SG: Pmmm, No. 47
Volume (Å³ per cell): 63.5

***

#c
Compound: NiTeIr2
Source: Alexandria
Functional: PBE
Structure: relaxed

a b c (Å): 2.862 2.862 9.110
angles (deg): 90.00 90.00 119.04
Last column: magnetic moment on the atom in μB.
Atoms (fractional coordinates):
Ir 0.000 0.000 0.025  0.07
Ir 0.000 0.000 0.475  0.07
Ni 0.500 0.500 0.250  0.29
Te 0.500 0.500 0.750  0.00

Summary:
DOS(E_F) (states/eV per cell): 6.45
Total magnetization (μB/f.u.): 0.432
Mass density (g cm⁻³): 14.523
SG: Cmmm, No. 65
Volume (Å³ per cell): 65.3

***

Which of them is most stable? Easy: #a.